1.
NbCu2H | the Alexandria database | PBE | relaxed; VASP energy = -5.046 eV per atom; space-group type = I-42d, No. 122; Fermi-level density of states = 8.57 states/eV per cell; crystal system = tetragonal
1.0
5.111 0.000 0.000
0.000 5.111 0.000
2.556 2.556 3.610
Cu Nb H
4 2 2
Cartesian
2.679 1.278 0.902
2.433 3.834 0.902
6.389 5.235 2.707
3.834 4.988 2.707
0.000 0.000 0.000
5.111 2.556 1.805
2.556 5.111 1.805
2.556 2.556 0.000


2.
TmZn6Au4 | the Alexandria database | PBE | relaxed; space-group type = P-6m2, No. 187; Fermi-level density of states = 4.56 states/eV per cell; ΔH_f (0 K) = -0.33 eV/atom; crystal system = hexagonal
1.0
4.059 0.000 0.000
0.000 7.522 0.000
0.000 -3.761 6.514
Zn Au Tm
6 4 1
Cartesian
2.030 1.462 5.187
0.000 2.316 3.006
2.030 0.000 2.655
0.000 5.206 3.006
0.000 3.761 0.503
2.030 -1.462 5.187
2.030 5.388 1.232
0.000 0.000 4.343
2.030 2.134 1.232
2.030 3.761 4.050
0.000 0.000 0.000


3.
La2PmIr9 | the Alexandria database | PBE | relaxed; space-group type = R-3m, No. 166; Fermi-level density of states = 10.66 states/eV per cell; ΔH_f (0 K) = -0.52 eV/atom; crystal system = trigonal
1.0
5.383 0.000 0.000
2.692 4.662 0.000
2.692 1.554 8.925
Ir La Pm
9 2 1
Cartesian
4.053 3.876 6.786
5.383 1.572 6.786
8.075 4.662 8.886
6.713 3.876 6.786
4.053 2.340 2.140
5.383 3.108 4.463
6.713 2.340 2.140
5.383 4.644 2.140
2.692 1.554 0.040
2.692 1.554 5.189
8.075 4.662 3.737
0.000 0.000 0.000


4.
Ba2CaAg | the Alexandria database | PBE | relaxed; space-group type = Fm-3m, No. 225; Fermi-level density of states = 6.40 states/eV per cell; ΔH_f (0 K) = 0.07 eV/atom; crystal system = cubic
1.0
5.654 -2.546 -0.892
2.873 -2.975 4.705
0.640 -6.230 -0.159
Ba Ag Ca
2 1 1
Cartesian
6.875 -8.813 2.741
2.292 -2.938 0.914
4.583 -5.876 1.827
0.000 0.000 0.000


5.
CoSe2Br | the Alexandria database | PBE | relaxed; formation energy (no corrections) = 148 meV/atom; space-group type = Fdd2, No. 43; Fermi-level density of states = 4.84 states/eV per cell; crystal system = orthorhombic
1.0
12.659 0.000 0.340
3.395 3.761 -1.619
-3.395 3.761 1.619
Br Se Co
2 4 2
Cartesian
3.175 4.702 0.107
9.505 6.583 0.277
5.106 6.577 -0.226
1.256 6.589 0.436
7.585 4.695 0.606
11.435 4.707 -0.056
9.504 2.822 0.278
3.174 0.939 0.108


6.
UBiPd3 | the Alexandria database | PBE | relaxed; space-group type = C2/m, No. 12; Fermi-level density of states = 10.34 states/eV per cell; ΔH_f (0 K) = -0.27 eV/atom; crystal system = monoclinic
1.0
4.260 0.000 0.000
2.130 4.864 1.325
2.130 2.791 10.280
U Pd Bi
2 6 2
Cartesian
4.260 4.592 4.829
4.260 3.063 6.775
2.130 1.110 0.913
6.390 6.545 10.692
6.390 5.337 6.690
4.260 6.063 8.790
2.130 2.318 4.915
4.260 1.592 2.814
6.390 4.079 9.205
2.130 3.576 2.399